Record 1
# GGA-PBE Pr3YSc2, relaxed
data_Pr3YSc2
_chemical_formula_sum 'Pr12 Y4 Sc8'
_space_group_name_H-M_alt 'C m c m'
_space_group_IT_number 63
_space_group_name_Hall '-C 2c 2'
_cell_length_a 14.580
_cell_length_b 9.866
_cell_length_c 5.559
_cell_angle_alpha 90.00
_cell_angle_beta 90.00
_cell_angle_gamma 90.00
loop_
_atom_site_label
_atom_site_type_symbol
_atom_site_fract_x
_atom_site_fract_y
_atom_site_fract_z
Pr1 Pr 0.000 0.091 0.250
Pr2 Pr 0.244 0.135 0.250
Y1 Y 0.000 0.279 0.750
Sc1 Sc 0.103 0.408 0.250
# M_tot, μB per formula unit: 0.00
# E_form, meV per atom: 257
# Energy, eV/atom: -5.32

Record 2
# GGA-PBE Pr2Y3Sc, relaxed
data_Pr2Y3Sc
_chemical_formula_sum 'Pr8 Y12 Sc4'
_space_group_name_H-M_alt 'C 1 2/c 1'
_space_group_IT_number 15
_space_group_name_Hall '-C 2yc'
_cell_length_a 8.944
_cell_length_b 9.831
_cell_length_c 8.959
_cell_angle_alpha 90.00
_cell_angle_beta 101.26
_cell_angle_gamma 90.00
loop_
_atom_site_label
_atom_site_type_symbol
_atom_site_fract_x
_atom_site_fract_y
_atom_site_fract_z
Pr1 Pr 0.126 0.250 0.125
Y1 Y 0.000 0.090 0.750
Y2 Y 0.242 0.420 0.500
Sc1 Sc 0.000 0.417 0.750
# Distance to the lowest polymorph of the same formula, eV per atom: 0.000
# M_tot, μB per formula unit: 0.00
# E_form, meV per atom: 76
# Energy, eV/atom: -5.80

Record 3
# GGA-PBE Pr4Y10Sc, relaxed
data_Pr4Y10Sc
_chemical_formula_sum 'Pr8 Y20 Sc2'
_space_group_name_H-M_alt 'I 4/m'
_space_group_IT_number 87
_space_group_name_Hall '-I 4'
_cell_length_a 9.890
_cell_length_b 9.890
_cell_length_c 10.449
_cell_angle_alpha 90.00
_cell_angle_beta 90.00
_cell_angle_gamma 90.00
loop_
_atom_site_label
_atom_site_type_symbol
_atom_site_fract_x
_atom_site_fract_y
_atom_site_fract_z
Pr1 Pr 0.065 0.675 0.000
Y1 Y 0.000 0.500 0.250
Y2 Y 0.112 0.792 0.336
Sc1 Sc 0.000 0.000 0.000
# M_tot, μB per formula unit: 0.00
# E_form, meV per atom: 380
# Energy, eV/atom: -5.63

Record 4
# GGA-PBE Pr6Y2Sc, relaxed
data_Pr6Y2Sc
_chemical_formula_sum 'Pr12 Y4 Sc2'
_space_group_name_H-M_alt 'P 42/m n m'
_space_group_IT_number 136
_space_group_name_Hall '-P 4n 2n'
_cell_length_a 8.258
_cell_length_b 8.258
_cell_length_c 10.506
_cell_angle_alpha 90.00
_cell_angle_beta 90.00
_cell_angle_gamma 90.00
loop_
_atom_site_label
_atom_site_type_symbol
_atom_site_fract_x
_atom_site_fract_y
_atom_site_fract_z
Pr1 Pr 0.236 0.236 0.163
Pr2 Pr 0.247 0.247 0.500
Y1 Y 0.000 0.000 0.333
Sc1 Sc 0.000 0.000 0.000
# Distance to the lowest polymorph of the same formula, eV per atom: 0.428
# M_tot, μB per formula unit: 0.00
# E_form, meV per atom: 581
# Energy, eV/atom: -4.74

Record 5
# GGA-PBE PrY2Sc, relaxed
data_PrY2Sc
_chemical_formula_sum 'Pr3 Y6 Sc3'
_space_group_name_H-M_alt 'R -3 m'
_space_group_IT_number 166
_space_group_name_Hall '-R 3 2"'
_cell_length_a 3.5471
_cell_length_b 3.5471
_cell_length_c 34.3287
_cell_angle_alpha 90.00
_cell_angle_beta 90.00
_cell_angle_gamma 120.00
loop_
_atom_site_label
_atom_site_type_symbol
_atom_site_fract_x
_atom_site_fract_y
_atom_site_fract_z
Pr1 Pr 0.0000 0.0000 0.0000
Y1 Y 0.0000 0.0000 0.2456
Sc1 Sc 0.0000 0.0000 0.5000
# Distance to the lowest polymorph of the same formula, eV per atom: 0.023
# M_tot, μB per formula unit: 0.00
# E_form, meV per atom: 54
# Energy, eV/atom: -5.96

Record 6
# GGA-PBE Pr5YSc2, relaxed
data_Pr5YSc2
_chemical_formula_sum 'Pr20 Y4 Sc8'
_space_group_name_H-M_alt 'I 4/m c m'
_space_group_IT_number 140
_space_group_name_Hall '-I 4 2c'
_cell_length_a 9.172
_cell_length_b 9.172
_cell_length_c 12.615
_cell_angle_alpha 90.00
_cell_angle_beta 90.00
_cell_angle_gamma 90.00
loop_
_atom_site_label
_atom_site_type_symbol
_atom_site_fract_x
_atom_site_fract_y
_atom_site_fract_z
Pr1 Pr 0.000 0.000 0.000
Pr2 Pr 0.149 0.351 0.159
Y1 Y 0.000 0.000 0.250
Sc1 Sc 0.149 0.351 0.500
# M_tot, μB per formula unit: 0.33
# E_form, meV per atom: 145
# Energy, eV/atom: -5.23

Record 7
# GGA-PBE Pr8Y6Sc, relaxed
data_Pr8Y6Sc
_chemical_formula_sum 'Pr24 Y18 Sc3'
_space_group_name_H-M_alt 'R -3'
_space_group_IT_number 148
_space_group_name_Hall '-R 3'
_cell_length_a 9.1954
_cell_length_b 9.1954
_cell_length_c 20.9973
_cell_angle_alpha 90.00
_cell_angle_beta 90.00
_cell_angle_gamma 120.00
loop_
_atom_site_label
_atom_site_type_symbol
_atom_site_fract_x
_atom_site_fract_y
_atom_site_fract_z
Pr1 Pr 0.0000 0.0000 0.0778
Pr2 Pr 0.0822 0.5205 0.3053
Y1 Y 0.0485 0.8003 0.2051
Sc1 Sc 0.0000 0.0000 0.5000
# M_tot, μB per formula unit: 0.00
# E_form, meV per atom: 114
# Energy, eV/atom: -5.44

Record 8
# GGA-PBE Pr9YSc2, relaxed
data_Pr9YSc2
_chemical_formula_sum 'Pr9 Y1 Sc2'
_space_group_name_H-M_alt 'P 4/m m m'
_space_group_IT_number 123
_space_group_name_Hall '-P 4 2'
_cell_length_a 5.121
_cell_length_b 5.121
_cell_length_c 15.382
_cell_angle_alpha 90.00
_cell_angle_beta 90.00
_cell_angle_gamma 90.00
loop_
_atom_site_label
_atom_site_type_symbol
_atom_site_fract_x
_atom_site_fract_y
_atom_site_fract_z
Pr1 Pr 0.000 0.000 0.000
Pr2 Pr 0.000 0.000 0.336
Pr3 Pr 0.000 0.500 0.171
Pr4 Pr 0.000 0.500 0.500
Y1 Y 0.500 0.500 0.000
Sc1 Sc 0.500 0.500 0.335
# M_tot, μB per formula unit: 0.00
# E_form, meV per atom: 30
# Energy, eV/atom: -5.15

Record 9
# GGA-PBE Pr4Y5Sc2, relaxed
data_Pr4Y5Sc2
_chemical_formula_sum 'Pr8 Y10 Sc4'
_space_group_name_H-M_alt 'C 1 2/m 1'
_space_group_IT_number 12
_space_group_name_Hall '-C 2y'
_cell_length_a 18.615
_cell_length_b 5.454
_cell_length_c 7.052
_cell_angle_alpha 90.00
_cell_angle_beta 95.90
_cell_angle_gamma 90.00
loop_
_atom_site_label
_atom_site_type_symbol
_atom_site_fract_x
_atom_site_fract_y
_atom_site_fract_z
Pr1 Pr 0.060 0.000 0.199
Pr2 Pr 0.182 0.500 0.376
Y1 Y 0.000 0.500 0.500
Y2 Y 0.129 0.000 0.696
Y3 Y 0.250 0.000 0.134
Sc1 Sc 0.076 0.500 0.937
# Distance to the lowest polymorph of the same formula, eV per atom: 0.000
# M_tot, μB per formula unit: 0.00
# E_form, meV per atom: 69
# Energy, eV/atom: -5.76

Record 10
# GGA-PBE Pr3Y12Sc5, relaxed
data_Pr3Y12Sc5
_chemical_formula_sum 'Pr24 Y96 Sc40'
_space_group_name_H-M_alt 'I a -3 d'
_space_group_IT_number 230
_space_group_name_Hall '-I 4bd 2c 3'
_cell_length_a 18.529
_cell_length_b 18.529
_cell_length_c 18.529
_cell_angle_alpha 90.00
_cell_angle_beta 90.00
_cell_angle_gamma 90.00
loop_
_atom_site_label
_atom_site_type_symbol
_atom_site_fract_x
_atom_site_fract_y
_atom_site_fract_z
Pr1 Pr 0.000 0.250 0.125
Y1 Y 0.012 0.076 0.646
Sc1 Sc 0.000 0.000 0.000
Sc2 Sc 0.000 0.250 0.375
# M_tot, μB per formula unit: 3.80
# E_form, meV per atom: 1069
# Energy, eV/atom: -5.11

Record 11
# GGA-PBE PrY2Sc, relaxed
data_PrY2Sc
_chemical_formula_sum 'Pr2 Y4 Sc2'
_space_group_name_H-M_alt 'I m m 2'
_space_group_IT_number 44
_space_group_name_Hall 'I 2 -2'
_cell_length_a 3.622
_cell_length_b 11.262
_cell_length_c 6.159
_cell_angle_alpha 90.00
_cell_angle_beta 90.00
_cell_angle_gamma 90.00
loop_
_atom_site_label
_atom_site_type_symbol
_atom_site_fract_x
_atom_site_fract_y
_atom_site_fract_z
Pr1 Pr 0.000 0.000 0.000
Y1 Y 0.000 0.241 0.647
Sc1 Sc 0.000 0.500 0.989
# Distance to the lowest polymorph of the same formula, eV per atom: 0.000
# M_tot, μB per formula unit: 0.00
# E_form, meV per atom: 31
# Energy, eV/atom: -5.98

Record 12
# GGA-PBE Pr3Y8Sc2, relaxed
data_Pr3Y8Sc2
_chemical_formula_sum 'Pr6 Y16 Sc4'
_space_group_name_H-M_alt 'C 1 2/m 1'
_space_group_IT_number 12
_space_group_name_Hall '-C 2y'
_cell_length_a 14.505
_cell_length_b 9.240
_cell_length_c 6.719
_cell_angle_alpha 90.00
_cell_angle_beta 99.61
_cell_angle_gamma 90.00
loop_
_atom_site_label
_atom_site_type_symbol
_atom_site_fract_x
_atom_site_fract_y
_atom_site_fract_z
Pr1 Pr 0.000 0.000 0.000
Pr2 Pr 0.000 0.170 0.500
Y1 Y 0.084 0.500 0.362
Y2 Y 0.118 0.320 0.936
Y3 Y 0.212 0.000 0.302
Sc1 Sc 0.199 0.000 0.801
# M_tot, μB per formula unit: 0.00
# E_form, meV per atom: 271
# Energy, eV/atom: -5.78

Record 13
# GGA-PBE Pr8YSc2, relaxed
data_Pr8YSc2
_chemical_formula_sum 'Pr16 Y2 Sc4'
_space_group_name_H-M_alt 'C 1 2/m 1'
_space_group_IT_number 12
_space_group_name_Hall '-C 2y'
_cell_length_a 9.119
_cell_length_b 16.341
_cell_length_c 5.957
_cell_angle_alpha 90.00
_cell_angle_beta 122.23
_cell_angle_gamma 90.00
loop_
_atom_site_label
_atom_site_type_symbol
_atom_site_fract_x
_atom_site_fract_y
_atom_site_fract_z
Pr1 Pr 0.000 0.209 0.000
Pr2 Pr 0.080 0.500 0.795
Pr3 Pr 0.216 0.120 0.673
Y1 Y 0.000 0.000 0.000
Sc1 Sc 0.000 0.311 0.500
# Distance to the lowest polymorph of the same formula, eV per atom: 0.032
# M_tot, μB per formula unit: 0.00
# E_form, meV per atom: 155
# Energy, eV/atom: -5.06

Record 14
# GGA-PBE Pr8Y4Sc, relaxed
data_Pr8Y4Sc
_chemical_formula_sum 'Pr24 Y12 Sc3'
_space_group_name_H-M_alt 'R -3 m'
_space_group_IT_number 166
_space_group_name_Hall '-R 3 2"'
_cell_length_a 7.3176
_cell_length_b 7.3176
_cell_length_c 29.0484
_cell_angle_alpha 90.00
_cell_angle_beta 90.00
_cell_angle_gamma 120.00
loop_
_atom_site_label
_atom_site_type_symbol
_atom_site_fract_x
_atom_site_fract_y
_atom_site_fract_z
Pr1 Pr 0.0000 0.0000 0.2134
Pr2 Pr 0.0255 0.5127 0.7653
Y1 Y 0.0000 0.0000 0.0000
Y2 Y 0.0000 0.5000 0.0000
Sc1 Sc 0.0000 0.0000 0.5000
# M_tot, μB per formula unit: 0.00
# E_form, meV per atom: 168
# Energy, eV/atom: -5.25

Record 15
# GGA-PBE Pr4Y5Sc, relaxed
data_Pr4Y5Sc
_chemical_formula_sum 'Pr4 Y5 Sc1'
_space_group_name_H-M_alt 'P -1'
_space_group_IT_number 2
_space_group_name_Hall '-P 1'
_cell_length_a 3.540
_cell_length_b 8.826
_cell_length_c 11.166
_cell_angle_alpha 91.75
_cell_angle_beta 90.02
_cell_angle_gamma 101.52
loop_
_atom_site_label
_atom_site_type_symbol
_atom_site_fract_x
_atom_site_fract_y
_atom_site_fract_z
Pr1 Pr 0.026 0.052 0.242
Pr2 Pr 0.341 0.679 0.253
Y1 Y 0.169 0.338 0.047
Y2 Y 0.173 0.347 0.440
Y3 Y 0.500 0.000 0.500
Sc1 Sc 0.500 0.000 0.000
# Distance to the lowest polymorph of the same formula, eV per atom: 0.155
# M_tot, μB per formula unit: 0.00
# E_form, meV per atom: 187
# Energy, eV/atom: -5.59

Record 16
# GGA-PBE Pr7Y3Sc, relaxed
data_Pr7Y3Sc
_chemical_formula_sum 'Pr14 Y6 Sc2'
_space_group_name_H-M_alt 'C 1 2/m 1'
_space_group_IT_number 12
_space_group_name_Hall '-C 2y'
_cell_length_a 12.856
_cell_length_b 11.495
_cell_length_c 5.894
_cell_angle_alpha 90.00
_cell_angle_beta 117.26
_cell_angle_gamma 90.00
loop_
_atom_site_label
_atom_site_type_symbol
_atom_site_fract_x
_atom_site_fract_y
_atom_site_fract_z
Pr1 Pr 0.000 0.000 0.000
Pr2 Pr 0.190 0.286 0.690
Pr3 Pr 0.216 0.500 0.215
Y1 Y 0.000 0.297 0.000
Y2 Y 0.000 0.500 0.500
Sc1 Sc 0.000 0.000 0.500
# M_tot, μB per formula unit: 0.00
# E_form, meV per atom: 219
# Energy, eV/atom: -5.16

Record 17
# GGA-PBE PrY2Sc, relaxed
data_PrY2Sc
_chemical_formula_sum 'Pr2 Y4 Sc2'
_space_group_name_H-M_alt 'C 1 m 1'
_space_group_IT_number 8
_space_group_name_Hall 'C -2y'
_cell_length_a 12.833
_cell_length_b 3.620
_cell_length_c 6.172
_cell_angle_alpha 90.00
_cell_angle_beta 118.56
_cell_angle_gamma 90.00
loop_
_atom_site_label
_atom_site_type_symbol
_atom_site_fract_x
_atom_site_fract_y
_atom_site_fract_z
Pr1 Pr 0.000 0.000 0.000
Y1 Y 0.014 0.500 0.511
Y2 Y 0.258 0.500 0.410
Sc1 Sc 0.256 0.000 0.915
# Distance to the lowest polymorph of the same formula, eV per atom: 0.015
# M_tot, μB per formula unit: 0.00
# E_form, meV per atom: 46
# Energy, eV/atom: -5.96

Record 18
# GGA-PBE Pr5Y4Sc2, relaxed
data_Pr5Y4Sc2
_chemical_formula_sum 'Pr5 Y4 Sc2'
_space_group_name_H-M_alt 'P 1 2/m 1'
_space_group_IT_number 10
_space_group_name_Hall '-P 2y'
_cell_length_a 8.893
_cell_length_b 3.562
_cell_length_c 11.453
_cell_angle_alpha 90.00
_cell_angle_beta 93.86
_cell_angle_gamma 90.00
loop_
_atom_site_label
_atom_site_type_symbol
_atom_site_fract_x
_atom_site_fract_y
_atom_site_fract_z
Pr1 Pr 0.000 0.000 0.000
Pr2 Pr 0.068 0.000 0.306
Pr3 Pr 0.314 0.000 0.838
Y1 Y 0.240 0.500 0.556
Y2 Y 0.335 0.500 0.123
Sc1 Sc 0.441 0.000 0.369
# Distance to the lowest polymorph of the same formula, eV per atom: 0.000
# M_tot, μB per formula unit: 0.00
# E_form, meV per atom: 78
# Energy, eV/atom: -5.60